First-principles (GGA-PBE) data for a relaxed structure of Cs2YInF6, as listed in Alexandria via LeMat-Bulk.

## Properties
E: -5.2992 eV per atom
Size of the total moment: 0.000 μB per atom
Mass density: 4.203 g/cm³
Energy above the most stable polymorph in this dataset: 7 meV/atom
E_form (uncorrected): -3.09 eV/atom

abc: 9.7338 9.7338 9.7338
angles: 90.00 90.00 90.00
Space group Fm-3m (No. 225)
One atom of each set of equivalent atoms:
Cs 0.2500 0.2500 0.2500
Y 0.0000 0.0000 0.0000
In 0.0000 0.0000 0.5000
F 0.0000 0.0000 0.2254